Below is Be2Pt at its PBEsol-relaxed geometry, with properties calculated at the meta-GGA SCAN level.

Cell lengths 6.2305, 6.2305, 3.7723 Å; angles 90.00, 90.00, 154.71 degrees
Fractional coordinates of all 6 atoms:
Be: 0.0581 0.9419 0.7500
Be: 0.2683 0.7317 0.2500
Be: 0.7317 0.2683 0.7500
Be: 0.9419 0.0581 0.2500
Pt: 0.3906 0.6094 0.7500
Pt: 0.6094 0.3906 0.2500

- ΔE to the lowest computed polymorph: 0.063 eV/atom
- Space-group type: Cmcm
- M_tot: 0.000 μB per formula unit